The following is a DFT calculation (PBE-GGA) of an optimized crystal structure of LaGa4Au6.

- Mass density: 12.5 g/cm3
- Energy of formation: -0.421 eV/atom
- DOS(E_F): 0.256 states/eV per atom

abc: 7.500 7.500 4.353
angles: 90.00 90.00 120.00
Atoms (fractional coordinates):
La 0.000 0.000 0.000
Ga 0.199 0.800 0.500
Ga 0.200 0.399 0.500
Ga 0.601 0.801 0.500
Ga 0.667 0.333 0.000
Au 0.071 0.534 0.000
Au 0.393 0.196 0.500
Au 0.463 0.929 0.000
Au 0.466 0.537 0.000
Au 0.804 0.196 0.500
Au 0.804 0.607 0.500

***

The following is a DFT calculation (PBE-GGA) of an optimized crystal structure of TbDy2Er2.

- Mass density: 7.7 g/cm3
- Energy of formation: 0.502 eV/atom
- Relative energy among the computed polymorphs: 413 meV per atom
- DOS(E_F): 1.564 states/eV per atom

abc: 12.579 11.497 6.403
angles: 84.17 65.40 30.43
Atoms (fractional coordinates):
Tb 0.125 0.125 0.125
Tb 0.875 0.875 0.875
Dy 0.208 0.542 0.208
Dy 0.458 0.792 0.458
Dy 0.542 0.208 0.542
Dy 0.792 0.458 0.792
Er 0.000 0.000 0.000
Er 0.000 0.000 0.500
Er 0.000 0.500 0.000
Er 0.500 0.000 0.000